# 1
The following is a meta-GGA SCAN calculation of Li3TiSn at its PBEsol-relaxed geometry, from Alexandria.

Computed properties:
- magnetic moment (μB per formula unit) = 2.64
- symmetry = Pm-3m, No. 221
- energy relative to the elements (eV per atom) = 0.81

Cell: 4.8173 4.8173 4.8173 Å, 90.00 90.00 90.00°
Fractional positions:
Li  0.0000  0.5000  0.0000
Li  0.0000  0.0000  0.5000
Li  0.5000  0.0000  0.0000
Sn  0.5000  0.5000  0.5000
Ti  0.0000  0.0000  0.0000



# 2
The following is a meta-GGA SCAN calculation of Na2Ti3FeP6O24 at its PBEsol-relaxed geometry, from Alexandria.

Computed properties:
- magnetic moment (μB per formula unit) = 2.00
- symmetry = R3, No. 146
- formation energy from raw total energies (eV/atom) = -2.63

Cell: 8.4383 8.4383 8.7305 Å, 61.10 61.10 60.00°
Fractional positions:
Na  0.0001  0.0001  0.9997
Na  0.5015  0.5015  0.4954
Ti  0.8574  0.8574  0.4279
Ti  0.3559  0.3559  0.9322
Ti  0.1445  0.1445  0.5666
Fe  0.6456  0.6456  0.0633
P  0.5381  0.2590  0.2453
P  0.7530  0.0270  0.7548
P  0.0270  0.4653  0.7548
P  0.9575  0.5381  0.2453
P  0.2590  0.9575  0.2453
P  0.4653  0.7530  0.7548
O  0.3717  0.2125  0.4221
O  0.7321  0.0973  0.2600
O  0.0721  0.2716  0.7408
O  0.8010  0.9958  0.5761
O  0.2733  0.1389  0.0774
O  0.5342  0.4506  0.2313
O  0.5657  0.2038  0.7704
O  0.8452  0.4858  0.9266
O  0.9958  0.6271  0.5761
O  0.9155  0.0721  0.7408
O  0.4858  0.7423  0.9266
O  0.2038  0.4601  0.7704
O  0.7839  0.5342  0.2313
O  0.5104  0.2733  0.0774
O  0.0973  0.9107  0.2600
O  0.9937  0.3717  0.4221
O  0.1389  0.5104  0.0774
O  0.4506  0.7839  0.2313
O  0.4601  0.5657  0.7704
O  0.7423  0.8452  0.9266
O  0.2125  0.9937  0.4221
O  0.9107  0.7321  0.2600
O  0.2716  0.9155  0.7408
O  0.6271  0.8010  0.5761



# 3
The following is a meta-GGA SCAN calculation of ZrScAu2 at its PBEsol-relaxed geometry, from Alexandria.

Computed properties:
- magnetic moment (μB per formula unit) = 0.00
- symmetry = Fm-3m, No. 225
- energy relative to the elements (eV per atom) = -0.87

Cell: 4.7619 4.7619 4.7619 Å, 60.00 60.00 60.00°
Fractional positions:
Sc  0.0000  0.0000  0.0000
Au  0.7500  0.7500  0.7500
Au  0.2500  0.2500  0.2500
Zr  0.5000  0.5000  0.5000



> Look up the magnetic moment of the third one.

0.00 μB per formula unit



> Look up the magnetic moment of the first one.

2.64 μB per formula unit



> magnetic moment of number 1 (Li3TiSn)?

2.64 μB per formula unit



> Among the records above, which one has the highest magnetic moment?

Li3TiSn